No. 1
VASP calculation (PBE) on a geometry-optimized Ti4VFe structure.

abc: 4.3863 4.3837 6.6391
angles: 70.71 70.71 59.98
Positions (direct):
Ti 0.1211 0.1212 0.6367
Ti 0.3710 0.3711 0.8868
Fe 0.0000 0.0000 0.0000
Ti 0.8789 0.8788 0.3633
Ti 0.6290 0.6289 0.1132
V 0.5000 0.5000 0.5000

Computed properties:
D(E_F) (states/eV/cell): 7.91
Formation enthalpy at 0 K (meV/atom): 404
Space-group type: R-3m
DFT total energy (eV per cell): -46.7
Spin magnetization (μB/f.u.): 0.00


No. 2
VASP calculation (PBE) on a geometry-optimized Ti2VFe2 structure.

abc: 6.7124 6.7124 3.0123
angles: 90.00 90.00 90.00
Positions (direct):
Ti 0.8364 0.3364 0.5000
Ti 0.3364 0.1636 0.5000
Fe 0.8609 0.6391 0.0000
V 0.0000 0.0000 0.0000
Ti 0.1636 0.6636 0.5000
Fe 0.1391 0.3609 0.0000
Ti 0.6636 0.8364 0.5000
V 0.5000 0.5000 0.0000
Fe 0.3609 0.8609 0.0000
Fe 0.6391 0.1391 0.0000

Computed properties:
D(E_F) (states/eV/cell): 13.63
Formation enthalpy at 0 K (meV/atom): -2
Space-group type: P4/mbm
DFT total energy (eV per cell): -83.7
Spin magnetization (μB/f.u.): 0.00


No. 3
VASP calculation (PBE) on a geometry-optimized Ti6VFe structure.

abc: 5.4360 5.4360 5.6035
angles: 103.05 103.05 117.79
Positions (direct):
Ti 0.2619 0.2619 0.7376
Ti 0.5342 0.9460 0.7512
Ti 0.9460 0.5342 0.7512
Ti 0.4658 0.0540 0.2488
Ti 0.0540 0.4658 0.2488
V 0.0000 0.0000 0.0000
Fe 0.5000 0.5000 0.5000
Ti 0.7381 0.7381 0.2624

Computed properties:
D(E_F) (states/eV/cell): 9.19
Formation enthalpy at 0 K (meV/atom): 238
Space-group type: C2/m
DFT total energy (eV per cell): -63.0
Spin magnetization (μB/f.u.): 0.45